Record 1
Here is Na2TlHgF8 after structural relaxation from Alexandria. Energies are from GGA-PBE.

Output
As for the calculated density: 5.8 g/cm³. The calculation puts the energy relative to the elements, uncorrected at -1.927 eV/atom. For the calculated volume, the calculation gives 172 Å³ per cell. The size of the total moment comes out at 1.01 Bohr magnetons per cell.

Geometry as POSCAR:
```
Na2TlHgF8
1.0
-3.730 0.797 -0.668
0.055 -4.339 -3.458
-2.089 -5.441 5.583
Na Tl Hg F
2 1 1 8
direct
0.501 0.500 0.755
0.499 0.500 0.245
0.000 0.000 0.000
0.000 0.000 0.500
0.024 0.745 0.215
0.513 0.768 0.970
0.965 0.222 0.272
0.976 0.255 0.785
0.487 0.232 0.030
0.035 0.778 0.728
0.559 0.757 0.478
0.441 0.243 0.522
```

---

Record 2
Here is LiAcZnSn3 after structural relaxation from Alexandria. Energies are from GGA-PBE.

Output
As for the calculated density: 6.4 g/cm³. For the calculated volume, the calculation gives 339 Å³ per cell. The size of the total moment comes out at 0.00 Bohr magnetons per cell.

Geometry as POSCAR:
```
LiAcZnSn3
1.0
-7.317 0.551 -3.542
-2.333 -4.793 4.075
-0.503 6.712 2.083
Li Ac Zn Sn
2 2 2 6
direct
0.250 0.398 0.797
0.750 0.602 0.203
0.750 0.289 0.578
0.250 0.711 0.422
0.250 0.960 0.920
0.750 0.040 0.080
0.250 0.182 0.363
0.000 0.254 0.000
0.500 0.746 0.000
0.500 0.254 0.000
0.000 0.746 0.000
0.750 0.818 0.637
```

---

Record 3
Here is Hg3Ge2Au3 after structural relaxation from Alexandria. Energies are from GGA-PBE.

Output
As for the calculated density: 13.0 g/cm³. For the calculated volume, the calculation gives 342 Å³ per cell. The size of the total moment comes out at 0.00 Bohr magnetons per cell.

Geometry as POSCAR:
```
Hg3Ge2Au3
1.0
3.023 0.000 0.000
-1.511 8.015 0.000
0.000 0.000 14.107
Hg Ge Au
6 4 6
direct
0.918 0.835 0.359
0.082 0.165 0.859
0.918 0.835 0.141
0.082 0.165 0.641
0.584 0.169 0.250
0.416 0.831 0.750
0.785 0.569 0.923
0.215 0.431 0.423
0.785 0.569 0.577
0.215 0.431 0.077
0.579 0.158 0.455
0.421 0.842 0.955
0.579 0.158 0.045
0.421 0.842 0.545
0.277 0.553 0.250
0.723 0.447 0.750
```

---

Record 4
Here is YHo2Al2Ga2 after structural relaxation from Alexandria. Energies are from GGA-PBE.

Output
As for the calculated density: 6.1 g/cm³. For the calculated volume, the calculation gives 166 Å³ per cell. The size of the total moment comes out at 0.00 Bohr magnetons per cell.

Geometry as POSCAR:
```
YHo2Al2Ga2
1.0
-3.500 -0.777 -2.309
-0.554 -3.820 -1.812
-6.323 -4.927 7.306
Y Ho Al Ga
1 2 2 2
direct
0.000 0.000 0.000
0.126 0.126 0.622
0.874 0.874 0.378
0.607 0.607 0.179
0.393 0.393 0.821
0.740 0.740 0.781
0.260 0.260 0.219
```

---

Record 5
Here is SmLu2Ir after structural relaxation from Alexandria. Energies are from GGA-PBE.

Output
As for the calculated density: 9.9 g/cm³. The energy above the most stable polymorph in this dataset is 139 meV per atom. For the calculated volume, the calculation gives 116 Å³ per cell. The size of the total moment comes out at 0.00 Bohr magnetons per cell.

Geometry as POSCAR:
```
SmLu2Ir
1.0
3.813 0.000 0.000
1.907 3.302 0.000
1.907 1.101 9.241
Ir Lu Sm
1 2 1
direct
0.000 0.000 0.000
0.277 0.277 0.169
0.723 0.723 0.831
0.500 0.500 0.500
```

---

Record 6
Here is LaZr2Cr after structural relaxation from Alexandria. Energies are from GGA-PBE.

Output
As for the calculated density: 4.6 g/cm³. The energy above the most stable polymorph in this dataset is 966 meV per atom. For the calculated volume, the calculation gives 271 Å³ per cell. The size of the total moment comes out at 0.00 Bohr magnetons per cell.

Geometry as POSCAR:
```
LaZr2Cr
1.0
-1.269 -5.824 4.145
0.217 -4.240 -5.890
4.537 -5.674 -0.224
Cr Zr La
2 4 2
direct
0.500 0.500 0.000
0.250 0.750 0.500
0.375 0.125 0.250
0.375 0.625 0.250
0.375 0.625 0.750
0.875 0.625 0.750
0.000 0.000 0.000
0.750 0.250 0.500
```

---

Record 7
Here is Si2SbCl after structural relaxation from Alexandria. Energies are from GGA-PBE.

Output
As for the calculated density: 3.9 g/cm³. The energy above the most stable polymorph in this dataset is 526 meV per atom. The calculation puts the energy relative to the elements, uncorrected at 0.405 eV/atom. For the calculated volume, the calculation gives 90 Å³ per cell. The size of the total moment comes out at 0.00 Bohr magnetons per cell.

Geometry as POSCAR:
```
Si2SbCl
1.0
4.895 0.053 0.006
-1.703 4.590 0.006
1.568 2.281 3.999
Cl Sb Si
1 1 2
direct
0.500 0.000 0.500
0.000 0.500 0.500
0.000 0.000 0.000
0.500 0.500 0.000
```

---

Record 8
Here is HfTl3Sn2Te6 after structural relaxation from Alexandria. Energies are from GGA-PBE.

Output
As for the calculated density: 7.3 g/cm³. The calculation puts the energy relative to the elements, uncorrected at -0.439 eV/atom. For the calculated volume, the calculation gives 407 Å³ per cell. The size of the total moment comes out at 0.00 Bohr magnetons per cell.

Geometry as POSCAR:
```
HfTl3Sn2Te6
1.0
-0.035 5.633 -5.272
4.536 -6.159 -1.005
-7.307 -3.473 -1.769
Hf Tl Sn Te
1 3 2 6
direct
0.000 0.000 0.000
0.171 0.829 0.500
0.829 0.171 0.500
0.500 0.500 0.500
0.334 0.666 0.000
0.666 0.334 0.000
0.931 0.620 0.792
0.761 0.761 0.213
0.069 0.380 0.208
0.620 0.931 0.792
0.239 0.239 0.787
0.380 0.069 0.208
```

---

Record 9
Here is Rb3U3MnS8 after structural relaxation from Alexandria. Energies are from GGA-PBE.

Output
As for the calculated density: 5.0 g/cm³. The calculation puts the energy relative to the elements, uncorrected at -1.269 eV/atom. For the calculated volume, the calculation gives 429 Å³ per cell. The size of the total moment comes out at 12.01 Bohr magnetons per cell.

Geometry as POSCAR:
```
Rb3U3MnS8
1.0
7.954 0.000 0.004
-3.977 6.888 -0.029
0.003 -4.557 7.857
Rb U Mn S
3 3 1 8
direct
0.000 0.000 0.000
0.000 0.500 0.000
0.500 0.500 0.000
0.500 0.000 0.500
0.500 0.500 0.500
0.000 0.500 0.500
0.000 0.000 0.500
0.269 0.537 0.306
0.731 0.463 0.694
0.776 0.553 0.318
0.224 0.447 0.682
0.776 0.042 0.318
0.224 0.958 0.682
0.265 0.042 0.318
0.735 0.958 0.682
```

---

Record 10
Here is Ce2YTe after structural relaxation from Alexandria. Energies are from GGA-PBE.

Output
As for the calculated density: 7.1 g/cm³. The calculation puts the energy relative to the elements, uncorrected at -0.202 eV/atom. For the calculated volume, the calculation gives 116 Å³ per cell. The size of the total moment comes out at 2.59 Bohr magnetons per cell.

Geometry as POSCAR:
```
Ce2YTe
1.0
5.469 0.000 0.000
2.734 4.736 0.000
2.734 1.579 4.463
Y Te Ce
1 1 2
direct
0.500 0.500 0.500
0.000 0.000 0.000
0.250 0.250 0.250
0.750 0.750 0.750
```

---

Record 11
Here is AcDy14Tm after structural relaxation from Alexandria. Energies are from GGA-PBE.

Output
As for the calculated density: 8.5 g/cm³. For the calculated volume, the calculation gives 519 Å³ per cell. The size of the total moment comes out at 0.00 Bohr magnetons per cell.

Geometry as POSCAR:
```
AcDy14Tm
1.0
-4.243 -4.489 -3.839
7.219 -0.187 -0.864
0.783 -7.773 8.224
Ac Dy Tm
1 14 1
direct
0.667 0.333 0.000
0.667 0.333 0.500
0.167 0.833 0.500
0.165 0.331 0.000
0.167 0.333 0.500
0.669 0.835 0.000
0.667 0.833 0.500
0.330 0.165 0.746
0.330 0.165 0.254
0.835 0.670 0.746
0.835 0.670 0.254
0.835 0.165 0.745
0.835 0.165 0.255
0.333 0.667 0.751
0.333 0.667 0.249
0.166 0.834 0.000
```

---

Record 12
Here is LiTiNbRu after structural relaxation from Alexandria. Energies are from GGA-PBE.

Output
As for the calculated density: 6.7 g/cm³. For the calculated volume, the calculation gives 61 Å³ per cell. The size of the total moment comes out at 0.00 Bohr magnetons per cell.

Geometry as POSCAR:
```
LiTiNbRu
1.0
-1.406 -1.768 3.807
-0.116 -4.398 0.488
2.875 -2.004 2.705
Ru Nb Li Ti
1 1 1 1
direct
0.250 0.250 0.250
0.500 0.500 0.500
0.750 0.750 0.750
0.000 0.000 0.000
```

---

Record 13
Here is PrCu2Ni9 after structural relaxation from Alexandria. Energies are from GGA-PBE.

Output
As for the calculated density: 8.7 g/cm³. For the calculated volume, the calculation gives 152 Å³ per cell. The size of the total moment comes out at 2.63 Bohr magnetons per cell.

Geometry as POSCAR:
```
PrCu2Ni9
1.0
2.662 0.000 0.000
0.000 8.113 0.000
0.000 -4.057 7.026
Pr Cu Ni
1 2 9
direct
0.000 0.000 0.000
0.000 0.667 0.333
0.000 0.333 0.667
0.500 0.814 0.186
0.000 0.000 0.500
0.000 0.500 0.500
0.500 0.814 0.628
0.500 0.186 0.814
0.500 0.628 0.814
0.500 0.186 0.372
0.000 0.500 0.000
0.500 0.372 0.186
```

---

Record 14
Here is Rb2CdGeH after structural relaxation from Alexandria. Energies are from GGA-PBE.

Output
As for the calculated density: 3.8 g/cm³. For the calculated volume, the calculation gives 156 Å³ per cell. The size of the total moment comes out at 0.59 Bohr magnetons per cell.

Geometry as POSCAR:
```
Rb2CdGeH
1.0
6.325 0.000 0.000
0.000 3.895 0.000
0.000 0.000 6.325
H Ge Rb Cd
1 1 2 1
direct
0.000 0.000 0.000
0.000 0.500 0.000
0.000 0.000 0.500
0.500 0.000 0.000
0.500 0.500 0.500
```

---

Record 15
Here is KTbTl2Cl6 after structural relaxation from Alexandria. Energies are from GGA-PBE.

Output
As for the calculated density: 4.1 g/cm³. The calculation puts the energy relative to the elements, uncorrected at -1.754 eV/atom. For the calculated volume, the calculation gives 663 Å³ per cell. The size of the total moment comes out at 0.00 Bohr magnetons per cell.

Geometry as POSCAR:
```
KTbTl2Cl6
1.0
-1.191 -5.109 -5.337
-3.657 -4.828 5.437
-9.632 4.398 -2.572
K Tb Tl Cl
2 2 4 12
direct
0.500 0.000 0.000
0.000 0.500 0.500
0.500 0.000 0.500
0.000 0.500 0.000
0.023 0.933 0.265
0.523 0.567 0.765
0.977 0.067 0.735
0.477 0.433 0.235
0.295 0.672 0.043
0.795 0.828 0.543
0.705 0.328 0.957
0.205 0.172 0.457
0.333 0.729 0.425
0.833 0.771 0.925
0.667 0.271 0.575
0.167 0.229 0.075
0.879 0.558 0.229
0.379 0.942 0.729
0.121 0.442 0.771
0.621 0.058 0.271
```

---

Record 16
Here is Li2AlRe after structural relaxation from Alexandria. Energies are from GGA-PBE.

Output
As for the calculated density: 6.3 g/cm³. For the calculated volume, the calculation gives 60 Å³ per cell. The size of the total moment comes out at 0.00 Bohr magnetons per cell.

Geometry as POSCAR:
```
Li2AlRe
1.0
2.597 0.000 0.000
0.000 4.540 0.000
0.000 0.000 5.058
Al Li Re
1 2 1
direct
0.500 0.500 0.750
0.000 0.000 0.019
0.000 0.000 0.481
0.500 0.500 0.250
```

---

Record 17
Here is PrCd8Cu4 after structural relaxation from Alexandria. Energies are from GGA-PBE.

Output
As for the calculated density: 8.5 g/cm³. For the calculated volume, the calculation gives 252 Å³ per cell. The size of the total moment comes out at 0.00 Bohr magnetons per cell.

Geometry as POSCAR:
```
PrCd8Cu4
1.0
-1.186 -5.123 -1.100
4.732 -2.871 -4.850
3.444 -4.601 4.596
Pr Cd Cu
1 8 4
direct
0.000 0.000 0.000
0.000 0.342 0.658
0.000 0.658 0.342
0.342 0.658 0.658
0.658 0.342 0.342
0.500 0.783 0.217
0.500 0.217 0.783
0.283 0.217 0.217
0.717 0.783 0.783
0.000 0.000 0.500
0.500 0.000 0.500
0.000 0.500 0.000
0.500 0.500 0.000
```

---

Record 18
Here is Na3ZnGe2 after structural relaxation from Alexandria. Energies are from GGA-PBE.

Output
As for the calculated density: 3.3 g/cm³. For the calculated volume, the calculation gives 568 Å³ per cell. The size of the total moment comes out at 0.00 Bohr magnetons per cell.

Geometry as POSCAR:
```
Na3ZnGe2
1.0
-0.493 0.297 -7.535
-1.147 -11.562 -0.380
-6.017 0.379 6.614
Na Zn Ge
12 4 8
direct
0.290 0.960 0.009
0.210 0.460 0.491
0.710 0.040 0.991
0.790 0.540 0.509
0.277 0.438 0.165
0.223 0.938 0.335
0.723 0.562 0.835
0.777 0.062 0.665
0.801 0.713 0.186
0.699 0.213 0.314
0.199 0.287 0.814
0.301 0.787 0.686
0.718 0.808 0.522
0.782 0.308 0.978
0.282 0.192 0.478
0.218 0.692 0.022
0.823 0.939 0.372
0.677 0.439 0.128
0.177 0.061 0.628
0.323 0.561 0.872
0.343 0.687 0.372
0.157 0.187 0.128
0.657 0.313 0.628
0.843 0.813 0.872
```

---

Record 19
Here is SiSb2TeI after structural relaxation from Alexandria. Energies are from GGA-PBE.

Output
As for the calculated density: 4.5 g/cm³. The energy above the most stable polymorph in this dataset is 621 meV per atom. The calculation puts the energy relative to the elements, uncorrected at 1.137 eV/atom. For the calculated volume, the calculation gives 195 Å³ per cell. The size of the total moment comes out at 0.43 Bohr magnetons per cell.

Geometry as POSCAR:
```
SiSb2TeI
1.0
5.828 0.000 0.000
0.000 5.828 0.000
0.000 0.000 5.746
I Sb Si Te
1 2 1 1
direct
0.000 0.000 0.500
0.000 0.500 0.000
0.500 0.000 0.000
0.500 0.500 0.500
0.000 0.000 0.000
```

---

Record 20
Here is PaAg2Se4 after structural relaxation from Alexandria. Energies are from GGA-PBE.

Output
As for the calculated density: 7.8 g/cm³. The energy above the most stable polymorph in this dataset is 0 meV per atom. The calculation puts the energy relative to the elements, uncorrected at -0.649 eV/atom. For the calculated volume, the calculation gives 324 Å³ per cell. The size of the total moment comes out at 0.00 Bohr magnetons per cell.

Geometry as POSCAR:
```
PaAg2Se4
1.0
-4.756 -2.926 5.052
3.313 -4.805 -4.759
5.575 3.116 3.989
Pa Ag Se
2 4 8
direct
0.750 0.250 0.500
0.000 0.000 0.000
0.875 0.431 0.056
0.181 0.125 0.556
0.375 0.819 0.944
0.569 0.625 0.444
0.230 0.890 0.268
0.039 0.770 0.660
0.621 0.961 0.732
0.110 0.379 0.340
0.520 0.289 0.160
0.711 0.871 0.232
0.129 0.360 0.840
0.640 0.480 0.768
```

---

Record 21
Here is LiMgSc4S8 after structural relaxation from Alexandria. Energies are from GGA-PBE.

Output
As for the calculated density: 2.5 g/cm³. The calculation puts the energy relative to the elements, uncorrected at -1.601 eV/atom. For the calculated volume, the calculation gives 305 Å³ per cell. The size of the total moment comes out at 0.00 Bohr magnetons per cell.

Geometry as POSCAR:
```
LiMgSc4S8
1.0
-1.567 5.851 4.490
-5.397 4.897 -1.934
-6.516 0.148 3.863
Li Mg Sc S
1 1 4 8
direct
0.375 0.375 0.874
0.004 0.004 0.987
0.622 0.622 0.135
0.004 0.487 0.504
0.487 0.004 0.504
0.004 0.004 0.504
0.245 0.772 0.737
0.772 0.245 0.737
0.245 0.245 0.737
0.243 0.243 0.271
0.759 0.224 0.259
0.224 0.759 0.259
0.759 0.759 0.259
0.756 0.756 0.733
```

---

Record 22
Here is KTlCd2 after structural relaxation from Alexandria. Energies are from GGA-PBE.

Output
As for the calculated density: 6.2 g/cm³. The energy above the most stable polymorph in this dataset is 81 meV per atom. For the calculated volume, the calculation gives 126 Å³ per cell. The size of the total moment comes out at 0.00 Bohr magnetons per cell.

Geometry as POSCAR:
```
KTlCd2
1.0
5.623 -0.024 0.009
4.564 3.284 0.009
0.780 0.250 6.767
Cd K Tl
2 1 1
direct
0.994 0.994 0.046
0.506 0.506 0.454
0.750 0.750 0.750
0.250 0.250 0.250
```

---

Number 1: VASP energy -43.4 eV per cell. Number 2: VASP energy -40.4 eV per cell. Number 3: VASP energy -38.5 eV per cell. Number 4: VASP energy -31.9 eV per cell. Number 5: VASP energy -24.1 eV per cell. Number 6: VASP energy -54.0 eV per cell. Number 7: VASP energy -15.2 eV per cell. Number 8: VASP energy -49.2 eV per cell. Number 9: VASP energy -98.0 eV per cell. Number 10: VASP energy -22.3 eV per cell. Number 11: VASP energy -72.7 eV per cell. Number 12: VASP energy -29.6 eV per cell. Number 13: VASP energy -63.2 eV per cell. Number 14: VASP energy -9.9 eV per cell. Number 15: VASP energy -78.2 eV per cell. Number 16: VASP energy -19.2 eV per cell. Number 17: VASP energy -29.8 eV per cell. Number 18: VASP energy -59.0 eV per cell. Number 19: VASP energy -12.7 eV per cell. Number 20: VASP energy -67.4 eV per cell. Number 21: VASP energy -84.3 eV per cell. Number 22: VASP energy -5.2 eV per cell.